Entry 1:
A plane-wave DFT calculation with PBE-GGA was carried out for an optimized crystal structure of ReHg4Mo.

a b c (Å): 5.550 5.550 5.550
angles (deg): 60.00 60.00 60.00
Positions (direct):
Re  0.000  0.000  0.000
Hg  0.125  0.625  0.625
Hg  0.625  0.125  0.625
Hg  0.625  0.625  0.125
Hg  0.625  0.625  0.625
Mo  0.250  0.250  0.250

## Properties
ΔE_f = 1.242 eV per atom
M_tot = 1.0 μB/cell
uncorrected energy = -2.84 eV per atom

***

Entry 2:
A plane-wave DFT calculation with PBE-GGA was carried out for an optimized crystal structure of RbInCl3.

a b c (Å): 11.177 11.177 11.177
angles (deg): 146.62 146.62 47.92
Positions (direct):
Rb  0.097  0.097  0.000
Rb  0.903  0.903  0.000
In  0.500  0.500  0.000
In  0.750  0.250  0.500
Cl  0.024  0.524  0.500
Cl  0.095  0.331  0.764
Cl  0.476  0.976  0.500
Cl  0.567  0.331  0.236
Cl  0.669  0.433  0.764
Cl  0.669  0.905  0.236

## Properties
M_tot = 0.0 μB/cell
uncorrected energy = -3.11 eV per atom
uncorrected formation energy = -1.259 eV/atom

***

Repeat the second record exactly.
A plane-wave DFT calculation with PBE-GGA was carried out for an optimized crystal structure of RbInCl3.

a b c (Å): 11.177 11.177 11.177
angles (deg): 146.62 146.62 47.92
Positions (direct):
Rb  0.097  0.097  0.000
Rb  0.903  0.903  0.000
In  0.500  0.500  0.000
In  0.750  0.250  0.500
Cl  0.024  0.524  0.500
Cl  0.095  0.331  0.764
Cl  0.476  0.976  0.500
Cl  0.567  0.331  0.236
Cl  0.669  0.433  0.764
Cl  0.669  0.905  0.236

## Properties
M_tot = 0.0 μB/cell
uncorrected energy = -3.11 eV per atom
uncorrected formation energy = -1.259 eV/atom